Entry from the Alexandria database: crystalline Tb2ScBi at its relaxed geometry (GGA-PBE).

Cell lengths 4.7612, 4.7612, 4.8114 Å; angles 90.00, 90.00, 90.00 degrees
Positions (direct):
Tb: 0.0000 0.5000 0.0000
Tb: 0.5000 0.0000 0.0000
Sc: 0.0000 0.0000 0.5000
Bi: 0.5000 0.5000 0.5000

Summary:
Its energy above the lowest structure with this stoichiometry is 50.1 meV/atom. As for the total energy: -5.20 eV/atom. The value obtained for the formation enthalpy at 0 K is -0.3270 eV/atom. The space group is No. 123. The density of states at the Fermi level comes out at 5.355 states/eV/cell. The spin magnetization is 0.0 μB/cell.